w:
# Ac2Cd3Rh2

A geometry-optimized Ac2Cd3Rh2 structure (PBE-GGA, Alexandria).

The structure in CIF format:
```
data_Ac2Cd3Rh2
_chemical_formula_sum 'Ac4 Cd6 Rh4'
_symmetry_space_group_name_H-M 'C 1 2/m 1'
_symmetry_Int_Tables_number 12
_symmetry_space_group_name_Hall '-C 2y'
_cell_length_a 10.664
_cell_length_b 4.318
_cell_length_c 7.672
_cell_angle_alpha 90.00
_cell_angle_beta 97.03
_cell_angle_gamma 90.00
loop_
_atom_site_label
_atom_site_fract_x
_atom_site_fract_y
_atom_site_fract_z
Ac1 0.125 0.000 0.353
Cd1 0.000 0.500 0.000
Cd2 0.183 0.000 0.873
Rh1 0.087 0.500 0.654
```

---

x:
# Ac2Cd3Rh2

A geometry-optimized Ac2Cd3Rh2 structure (PBE-GGA, Alexandria).

The structure in CIF format:
```
data_Ac2Cd3Rh2
_chemical_formula_sum 'Ac4 Cd6 Rh4'
_symmetry_space_group_name_H-M 'C 1 2/m 1'
_symmetry_Int_Tables_number 12
_symmetry_space_group_name_Hall '-C 2y'
_cell_length_a 10.562
_cell_length_b 4.446
_cell_length_c 7.956
_cell_angle_alpha 90.00
_cell_angle_beta 112.04
_cell_angle_gamma 90.00
loop_
_atom_site_label
_atom_site_fract_x
_atom_site_fract_y
_atom_site_fract_z
Ac1 0.141 0.000 0.279
Cd1 0.000 0.500 0.500
Cd2 0.140 0.500 0.943
Rh1 0.143 0.000 0.690
```

---

It is w that is the least stable of them.

---

w:
# Ac2CdRu

A geometry-optimized Ac2CdRu structure (PBE-GGA, Alexandria).

The structure in CIF format:
```
data_Ac2CdRu
_chemical_formula_sum 'Ac6 Cd3 Ru3'
_symmetry_space_group_name_H-M 'R -3 m'
_symmetry_Int_Tables_number 166
_symmetry_space_group_name_Hall '-R 3 2"'
_cell_length_a 4.2330
_cell_length_b 4.2330
_cell_length_c 31.1375
_cell_angle_alpha 90.00
_cell_angle_beta 90.00
_cell_angle_gamma 120.00
loop_
_atom_site_label
_atom_site_fract_x
_atom_site_fract_y
_atom_site_fract_z
Ac1 0.0000 0.0000 0.1154
Cd1 0.0000 0.0000 0.0000
Ru1 0.0000 0.0000 0.5000
```

---

x:
# Ac2CdRu

A geometry-optimized Ac2CdRu structure (PBE-GGA, Alexandria).

The structure in CIF format:
```
data_Ac2CdRu
_chemical_formula_sum 'Ac8 Cd4 Ru4'
_symmetry_space_group_name_H-M 'C m c m'
_symmetry_Int_Tables_number 63
_symmetry_space_group_name_Hall '-C 2c 2'
_cell_length_a 4.273
_cell_length_b 15.358
_cell_length_c 7.695
_cell_angle_alpha 90.00
_cell_angle_beta 90.00
_cell_angle_gamma 90.00
loop_
_atom_site_label
_atom_site_fract_x
_atom_site_fract_y
_atom_site_fract_z
Ac1 0.000 0.144 0.000
Cd1 0.000 0.492 0.250
Ru1 0.000 0.306 0.250
```

---

It is w that is the least stable of them.

---

w:
# Ac2CdRu

A geometry-optimized Ac2CdRu structure (PBE-GGA, Alexandria).

The structure in CIF format:
```
data_Ac2CdRu
_chemical_formula_sum 'Ac8 Cd4 Ru4'
_symmetry_space_group_name_H-M 'C 1 2/m 1'
_symmetry_Int_Tables_number 12
_symmetry_space_group_name_Hall '-C 2y'
_cell_length_a 15.408
_cell_length_b 4.309
_cell_length_c 10.008
_cell_angle_alpha 90.00
_cell_angle_beta 121.66
_cell_angle_gamma 90.00
loop_
_atom_site_label
_atom_site_fract_x
_atom_site_fract_y
_atom_site_fract_z
Ac1 0.082 0.000 0.306
Ac2 0.225 0.000 0.756
Cd1 0.000 0.500 0.000
Cd2 0.000 0.500 0.500
Ru1 0.188 0.500 0.530
```

---

x:
# Ac2CdRu

A geometry-optimized Ac2CdRu structure (PBE-GGA, Alexandria).

The structure in CIF format:
```
data_Ac2CdRu
_chemical_formula_sum 'Ac2 Cd1 Ru1'
_symmetry_space_group_name_H-M 'P 4/m m m'
_symmetry_Int_Tables_number 123
_symmetry_space_group_name_Hall '-P 4 2'
_cell_length_a 3.755
_cell_length_b 3.755
_cell_length_c 8.392
_cell_angle_alpha 90.00
_cell_angle_beta 90.00
_cell_angle_gamma 90.00
loop_
_atom_site_label
_atom_site_fract_x
_atom_site_fract_y
_atom_site_fract_z
Ac1 0.000 0.000 0.214
Cd1 0.500 0.500 0.500
Ru1 0.500 0.500 0.000
```

---

It is x that is the least stable of them.